A plane-wave DFT calculation with PBE was carried out for a relaxed Cu8Si2Au crystal.

Values from the calculation:
energy relative to the lowest polymorph listed for this composition: 0.00 eV/f.u.
E_form (uncorrected): -0.1 kcal/mol of atoms

Unit cell a=16.773 b=2.723 c=6.805 alpha=90.00 beta=112.87 gamma=90.00
Space group C2/m (No. 12)
Inequivalent atoms, fractional coordinates:
Cu  0.052  0.000  0.218 (multiplicity 4)
Cu  0.084  0.500  0.930 (multiplicity 4)
Cu  0.175  0.500  0.489 (multiplicity 4)
Cu  0.191  0.000  0.828 (multiplicity 4)
Si  0.191  0.000  0.198 (multiplicity 4)
Au  0.000  0.500  0.500 (multiplicity 2)